## TaCrOs2 (PBE-GGA)

Data for a relaxed structure of TaCrOs2.

Calculated values
* energy of formation: 0.09 eV per atom

Unit cell a=2.8069 b=3.8055 c=5.5577 alpha=90.00 beta=90.00 gamma=90.00
Last column: nearest neighbours and their distance in Å.
Space group Pmm2 (No. 25)
One atom of each set of equivalent atoms:
Ta1 0.0000 0.0000 0.0000 x1  6 Os 2.71-2.85, 2 Ta 2.81, 4 Cr 2.82
Cr1 0.5000 0.5000 0.2773 x1  5 Os 2.58-2.64, 2 Cr 2.81, 4 Ta 2.82
Os1 0.0000 0.0000 0.4867 x1  4 Cr 2.64, 2 Ta 2.71-2.85, 6 Os 2.76-2.81
Os2 0.5000 0.5000 0.7415 x1  1 Cr 2.58, 6 Os 2.76-2.81, 4 Ta 2.77



## NaCdH6Ir (PBE-GGA)

Data for a relaxed structure of NaCdH6Ir.

Unit cell a=4.8763 b=4.8763 c=5.0034 alpha=90.00 beta=90.00 gamma=120.00
Last column: nearest neighbours and their distance in Å.
Space group P312 (No. 149)
One atom of each set of equivalent atoms:
Na1 0.0000 0.0000 0.0000 x1  6 H 2.25
Cd1 0.3333 0.6667 0.5000 x1  6 H 2.19
H1 0.3914 0.0844 0.7140 x6  1 Ir 1.67
Ir1 0.6667 0.3333 0.5000 x1  6 H 1.67



## CaScSe (PBE-GGA)

Data for a relaxed structure of CaScSe.

Calculated values
* formation energy without anion corrections: -265 kJ/mol of formula units

Unit cell a=4.9861 b=5.0068 c=12.2137 alpha=90.00 beta=90.00 gamma=90.00
Last column: nearest neighbours and their distance in Å.
Space group Fmm2 (No. 42)
One atom of each set of equivalent atoms:
Ca1 0.0000 0.0000 0.0000 x4  4 Se 3.27-3.28, 5 Sc 3.47-3.64, 4 Ca 3.53
Sc1 0.0000 0.0000 0.7163 x4  4 Se 2.83-2.84
Se1 0.0000 0.0000 0.3266 x4  4 Sc 2.83-2.84



## Cs2BaMn (PBE-GGA)

Data for a relaxed structure of Cs2BaMn.

Calculated values
* energy of formation: 0.82 eV per atom

Unit cell a=9.7867 b=9.7867 c=9.7867 alpha=90.00 beta=90.00 gamma=90.00
Last column: nearest neighbours and their distance in Å.
Space group Fm-3m (No. 225)
One atom of each set of equivalent atoms:
Cs1 0.2500 0.2500 0.2500 x8  4 Mn 4.24, 4 Ba 4.24
Ba1 0.0000 0.0000 0.0000 x4  8 Cs 4.24
Mn1 0.0000 0.0000 0.5000 x4  8 Cs 4.24



Number 1: magnetic moment 0.00 μB per cell, E -10.893 eV/atom. Number 2: magnetic moment 0.00 μB per cell, E -3.643 eV/atom. Number 3: magnetic moment 2.52 μB per cell, E -4.854 eV/atom. Number 4: magnetic moment 12.01 μB per cell, E -2.383 eV/atom.